Here is crystalline ScAgBr at its relaxed geometry from the Alexandria database. Energies are from PBE.

Computed properties:
Total DFT energy (no corrections) = -3.567 eV per atom
Polymorph energy (0 for the lowest one) = 0.638 eV/atom
D(E_F) = 13.3 states/eV/cell

```
data_ScAgBr
_chemical_formula_sum 'Sc4 Ag4 Br4'
_cell_length_a 6.676
_cell_length_b 6.676
_cell_length_c 6.676
_cell_angle_alpha 90.00
_cell_angle_beta 90.00
_cell_angle_gamma 90.00
_symmetry_space_group_name_H-M 'F -4 3 m'
_symmetry_Int_Tables_number 216
_symmetry_space_group_name_Hall 'F -4 2 3'
loop_
_atom_site_label
_atom_site_fract_x
_atom_site_fract_y
_atom_site_fract_z
Sc1 0.000 0.000 0.000
Ag1 0.000 0.000 0.500
Br1 0.250 0.250 0.750
```